KMo2Ir, relaxed, DFT PBE; DOS(E_F) = 5.6 states/eV/f.u.; energy above the lowest structure with this stoichiometry = 0.863 eV/f.u.
1.0
3.419 0.000 0.000
0.000 3.419 0.000
0.000 0.000 8.112
Ir Mo K
1 2 1
direct
0.500 0.500 0.250
0.000 0.000 0.391
0.000 0.000 0.109
0.500 0.500 0.750